VASP calculation (GGA+U) on an optimized crystal structure of SrMnO3.

Values from the calculation:
The calculation puts the density of states at the Fermi level at 0.000 states/eV per cell. The total DFT energy (no corrections) is -0.498 Ry/atom. The density comes out at 4092 kg/m³. Its crystal system is monoclinic. For the total magnetization, the calculation gives 3.000 μB/f.u.

a b c (Å): 19.7245 5.0502 7.1931
angles (deg): 90.00 154.42 90.00
With the nearest neighbours (Å) after each atom.
Positions (direct):
O  0.1424  0.4437  0.3949  2 Mn 1.86-1.97
O  0.4105  0.4120  0.4053  2 Mn 1.91-1.94
O  0.8576  0.5563  0.6051  2 Mn 1.86-1.97
O  0.6424  0.0563  0.8949  2 Mn 1.86-1.97
O  0.0895  0.9120  0.0947  2 Mn 1.91-1.94
Sr  0.6312  0.2594  0.1897  6 O 2.48-2.66
Sr  0.1312  0.2406  0.6897  6 O 2.48-2.66
O  0.9105  0.0880  0.9053  2 Mn 1.91-1.94
Mn  0.0042  0.7478  0.1053  5 O 1.80-1.97
O  0.5895  0.5880  0.5947  2 Mn 1.91-1.94
Mn  0.5042  0.7522  0.6053  5 O 1.80-1.97
O  0.0231  0.7129  0.4006  1 Mn 1.80
Mn  0.4958  0.2478  0.3947  5 O 1.80-1.97
O  0.9769  0.2871  0.5994  1 Mn 1.80
Sr  0.8688  0.7594  0.3103  6 O 2.48-2.66
Sr  0.3688  0.7406  0.8103  6 O 2.48-2.66
O  0.5231  0.7871  0.9006  1 Mn 1.80
O  0.4769  0.2129  0.0994  1 Mn 1.80
O  0.3576  0.9437  0.1051  2 Mn 1.86-1.97
Mn  0.9958  0.2522  0.8947  5 O 1.80-1.97